VASP calculation (PBE) on PrPu3S6 after structural relaxation.

Computed properties:
- total energy (eV/atom) = -8.93
- total magnetization (Bohr magnetons per cell) = 30.000

The structure in CIF format:
```
data_PrPu3S6
_cell_length_a 11.149
_cell_length_b 4.090
_cell_length_c 12.727
_cell_angle_alpha 90.00
_cell_angle_beta 108.89
_cell_angle_gamma 90.00
_symmetry_space_group_name_H-M 'P 1 21/m 1'
_symmetry_Int_Tables_number 11
loop_
_symmetry_equiv_pos_as_xyz
'x,y,z'
'-x,-y,-z'
'-x,y+1/2,-z'
'x,-y+1/2,z'
loop_
_atom_site_label
_atom_site_type_symbol
_atom_site_fract_x
_atom_site_fract_y
_atom_site_fract_z
Pr1 Pr 0.160 0.250 0.023
Pu1 Pu 0.094 0.750 0.640
Pu2 Pu 0.345 0.750 0.502
Pu3 Pu 0.396 0.250 0.863
S1 S 0.076 0.750 0.418
S2 S 0.085 0.750 0.129
S3 S 0.223 0.750 0.867
S4 S 0.277 0.250 0.636
S5 S 0.402 0.250 0.391
S6 S 0.435 0.250 0.090
```